DFT (PBEsol) results for a relaxed Rb2Hg2Rh crystal.

Output
- E_tot: -1.72 eV/atom
- E_form: 0.541 eV/atom
- Space-group type: I4/mmm, No. 139

abc: 4.0102 4.0102 20.4624
angles: 90.00 90.00 90.00
Closest atoms and distances in Å follow each position.
Atoms (fractional coordinates):
Rb 0.0000 0.0000 0.0930  4 Rh 3.41, 4 Hg 3.79, 1 Rb 3.80
Rb 0.0000 0.0000 0.9070  4 Rh 3.41, 4 Hg 3.79, 1 Rb 3.80
Rb 0.5000 0.5000 0.4070  4 Rh 3.41, 4 Hg 3.79, 1 Rb 3.80
Rb 0.5000 0.5000 0.5930  4 Rh 3.41, 4 Hg 3.79, 1 Rb 3.80
Hg 0.0000 0.5000 0.2500  4 Hg 2.84
Hg 0.0000 0.5000 0.7500  4 Hg 2.84
Hg 0.5000 0.0000 0.2500  4 Hg 2.84
Hg 0.5000 0.0000 0.7500  4 Hg 2.84
Rh 0.0000 0.0000 0.5000  8 Rb 3.41
Rh 0.5000 0.5000 0.0000  8 Rb 3.41